# Th4ZnOs2

An optimized crystal structure of Th4ZnOs2 (PBE, Alexandria via LeMat-Bulk). Values from VASP.

**DOS(E_F)**: 0.88 states/eV per atom
**Energy of formation from the pure elements**: -1.9 eV per formula unit

Structure (Quantum ESPRESSO input):
```
&SYSTEM
  ibrav = 0, nat = 14, ntyp = 3
/
ATOMIC_SPECIES
Th 232.04 Th.upf
Zn 65.41 Zn.upf
Os 190.23 Os.upf
ATOMIC_POSITIONS angstrom
Th 5.574 -0.360 2.798
Th 0.132 2.118 6.077
Th 3.623 1.804 5.111
Th 1.576 2.277 2.115
Th 4.966 3.175 0.787
Th 2.985 -1.859 5.148
Th 0.972 5.798 1.697
Th -0.508 -1.536 5.915
Zn 6.665 -0.263 0.026
Zn -0.870 3.822 3.658
Os 3.502 4.088 3.243
Os 1.352 0.233 4.199
Os -2.110 0.514 7.004
Os 4.022 0.620 0.425
CELL_PARAMETERS angstrom
7.015 -0.667 -0.134
-1.159 7.026 0.134
-2.796 -3.306 7.446
```


# ThZnOs

An optimized crystal structure of ThZnOs (PBE, Alexandria via LeMat-Bulk). Values from VASP.

**DOS(E_F)**: 0.58 states/eV per atom
**Energy of formation from the pure elements**: -0.5 eV per formula unit

Structure (Quantum ESPRESSO input):
```
&SYSTEM
  ibrav = 0, nat = 6, ntyp = 3
/
ATOMIC_SPECIES
Os 190.23 Os.upf
Th 232.04 Th.upf
Zn 65.41 Zn.upf
ATOMIC_POSITIONS angstrom
Os -0.446 -1.999 6.264
Os 2.318 -1.811 5.967
Th 0.925 -1.200 3.642
Th 1.711 1.040 6.374
Zn -1.446 0.297 5.447
Zn -2.007 2.700 5.024
CELL_PARAMETERS angstrom
-0.764 -3.650 2.216
3.377 0.065 4.237
-2.711 3.223 4.694
```


# ThZnOs

An optimized crystal structure of ThZnOs (PBE, Alexandria via LeMat-Bulk). Values from VASP.

**DOS(E_F)**: 0.94 states/eV per atom
**Energy of formation from the pure elements**: 0.0 eV per formula unit

Structure (Quantum ESPRESSO input):
```
&SYSTEM
  ibrav = 0, nat = 6, ntyp = 3
/
ATOMIC_SPECIES
Os 190.23 Os.upf
Th 232.04 Th.upf
Zn 65.41 Zn.upf
ATOMIC_POSITIONS angstrom
Os 0.000 0.000 1.342
Os 1.953 1.953 7.684
Th 1.953 1.953 1.868
Th 0.000 0.000 7.157
Zn 0.000 0.000 3.872
Zn 1.953 1.953 5.154
CELL_PARAMETERS angstrom
3.906 0.000 0.000
0.000 3.906 0.000
-1.953 -1.953 9.026
```


# ThZnOs

An optimized crystal structure of ThZnOs (PBE, Alexandria via LeMat-Bulk). Values from VASP.

**DOS(E_F)**: 0.50 states/eV per atom
**Energy of formation from the pure elements**: 0.4 eV per formula unit

Structure (Quantum ESPRESSO input):
```
&SYSTEM
  ibrav = 0, nat = 3, ntyp = 3
/
ATOMIC_SPECIES
Th 232.04 Th.upf
Zn 65.41 Zn.upf
Os 190.23 Os.upf
ATOMIC_POSITIONS angstrom
Th 1.921 1.921 3.828
Zn 1.921 1.921 0.975
Os 0.000 0.000 2.702
CELL_PARAMETERS angstrom
3.841 0.000 0.000
0.000 3.841 0.000
-1.921 -1.921 4.415
```


# ThZnOs

An optimized crystal structure of ThZnOs (PBE, Alexandria via LeMat-Bulk). Values from VASP.

**DOS(E_F)**: 0.56 states/eV per atom
**Energy of formation from the pure elements**: -0.4 eV per formula unit

Structure (Quantum ESPRESSO input):
```
&SYSTEM
  ibrav = 0, nat = 3, ntyp = 3
/
ATOMIC_SPECIES
Th 232.04 Th.upf
Zn 65.41 Zn.upf
Os 190.23 Os.upf
ATOMIC_POSITIONS angstrom
Th 2.531 0.000 2.534
Zn 0.632 2.195 1.267
Os 0.633 0.000 0.000
CELL_PARAMETERS angstrom
3.796 0.000 0.000
0.000 4.389 0.000
0.000 -2.195 3.801
```


# Th2Zn16Os

An optimized crystal structure of Th2Zn16Os (PBE, Alexandria via LeMat-Bulk). Values from VASP.

**DOS(E_F)**: 0.40 states/eV per atom
**Energy of formation from the pure elements**: -3.5 eV per formula unit

Structure (Quantum ESPRESSO input):
```
&SYSTEM
  ibrav = 0, nat = 19, ntyp = 3
/
ATOMIC_SPECIES
Zn 65.41 Zn.upf
Th 232.04 Th.upf
Os 190.23 Os.upf
ATOMIC_POSITIONS angstrom
Zn -0.283 -1.299 7.160
Zn -6.203 -2.325 6.615
Zn -1.214 1.093 6.722
Zn -1.029 -3.544 8.603
Zn -2.985 0.376 10.875
Zn -4.866 -0.742 4.861
Zn -3.743 1.239 6.123
Zn -0.913 0.332 9.311
Zn -3.873 -3.102 5.331
Zn -2.921 1.805 8.709
Zn -3.116 -4.017 10.073
Zn -0.507 -0.203 1.195
Zn -1.346 -3.323 5.916
Zn -6.127 0.195 7.075
Zn -6.618 -1.449 9.024
Zn -3.113 -4.591 7.541
Th -3.431 -1.373 8.084
Th -1.745 -0.698 4.111
Os -4.552 -1.822 10.726
CELL_PARAMETERS angstrom
-4.245 -4.887 2.206
3.129 -1.183 5.965
-3.978 4.030 3.834
```


# ThZrZnOs

An optimized crystal structure of ThZrZnOs (PBE, Alexandria via LeMat-Bulk). Values from VASP.

**DOS(E_F)**: 0.44 states/eV per atom
**Energy of formation from the pure elements**: -0.6 eV per formula unit

Structure (Quantum ESPRESSO input):
```
&SYSTEM
  ibrav = 0, nat = 4, ntyp = 4
/
ATOMIC_SPECIES
Os 190.23 Os.upf
Th 232.04 Th.upf
Zn 65.41 Zn.upf
Zr 91.22 Zr.upf
ATOMIC_POSITIONS angstrom
Os -2.307 -3.638 4.210
Th -3.460 -5.458 6.315
Zn 0.000 0.000 0.000
Zr -1.153 -1.819 2.105
CELL_PARAMETERS angstrom
-3.777 -2.938 1.137
0.765 -4.079 2.640
-1.601 -0.261 4.643
```


# Th2Zr3Os2

An optimized crystal structure of Th2Zr3Os2 (PBE, Alexandria via LeMat-Bulk). Values from VASP.

**DOS(E_F)**: 1.17 states/eV per atom
**Energy of formation from the pure elements**: -1.8 eV per formula unit

Structure (Quantum ESPRESSO input):
```
&SYSTEM
  ibrav = 0, nat = 7, ntyp = 3
/
ATOMIC_SPECIES
Zr 91.22 Zr.upf
Os 190.23 Os.upf
Th 232.04 Th.upf
ATOMIC_POSITIONS angstrom
Zr -1.739 -0.578 -0.206
Zr -1.310 2.470 4.123
Zr -2.854 2.259 1.239
Os -0.546 1.001 1.796
Os -3.618 3.728 3.566
Th -2.053 -0.918 3.399
Th -2.111 5.647 1.962
CELL_PARAMETERS angstrom
-3.478 -1.157 -0.412
2.050 -2.185 5.340
-2.736 8.071 0.433
```


# ThZr2Os

An optimized crystal structure of ThZr2Os (PBE, Alexandria via LeMat-Bulk). Values from VASP.

**Energy above the most stable polymorph in this dataset**: 314.5 meV per atom
**DOS(E_F)**: 1.48 states/eV per atom
**Energy of formation from the pure elements**: 0.5 eV per formula unit

Structure (Quantum ESPRESSO input):
```
&SYSTEM
  ibrav = 0, nat = 4, ntyp = 3
/
ATOMIC_SPECIES
Th 232.04 Th.upf
Os 190.23 Os.upf
Zr 91.22 Zr.upf
ATOMIC_POSITIONS angstrom
Th -2.362 -5.344 0.787
Os 0.000 0.000 0.000
Zr -1.433 -2.269 0.035
Zr -3.292 -8.419 1.539
CELL_PARAMETERS angstrom
-3.915 -1.675 0.862
-1.590 -3.194 -2.479
0.781 -5.819 3.190
```


# ThZrOs

An optimized crystal structure of ThZrOs (PBE, Alexandria via LeMat-Bulk). Values from VASP.

**DOS(E_F)**: 1.17 states/eV per atom
**Energy of formation from the pure elements**: -0.8 eV per formula unit

Structure (Quantum ESPRESSO input):
```
&SYSTEM
  ibrav = 0, nat = 6, ntyp = 3
/
ATOMIC_SPECIES
Os 190.23 Os.upf
Th 232.04 Th.upf
Zr 91.22 Zr.upf
ATOMIC_POSITIONS angstrom
Os 0.898 -2.709 -0.727
Os -0.731 -4.483 3.117
Th -1.906 -1.432 0.660
Th 2.073 -5.760 1.730
Zr 0.984 -2.555 2.057
Zr -0.817 -4.638 0.333
CELL_PARAMETERS angstrom
-4.339 -1.496 0.218
0.737 -2.670 -3.667
1.968 -5.109 4.115
```


# ThZr2Os

An optimized crystal structure of ThZr2Os (PBE, Alexandria via LeMat-Bulk). Values from VASP.

**Energy above the most stable polymorph in this dataset**: 0.0 meV per atom
**DOS(E_F)**: 1.02 states/eV per atom
**Energy of formation from the pure elements**: -0.7 eV per formula unit

Structure (Quantum ESPRESSO input):
```
&SYSTEM
  ibrav = 0, nat = 4, ntyp = 3
/
ATOMIC_SPECIES
Th 232.04 Th.upf
Os 190.23 Os.upf
Zr 91.22 Zr.upf
ATOMIC_POSITIONS angstrom
Th 1.664 1.664 4.058
Os 1.664 1.664 0.000
Zr 0.000 0.000 1.603
Zr 0.000 0.000 6.512
CELL_PARAMETERS angstrom
3.327 0.000 0.000
0.000 3.327 0.000
0.000 0.000 8.115
```


# TiOs4

An optimized crystal structure of TiOs4 (PBE, Alexandria via LeMat-Bulk). Values from VASP.

**DOS(E_F)**: 0.93 states/eV per atom
**Energy of formation from the pure elements**: 10.6 eV per formula unit

Structure (Quantum ESPRESSO input):
```
&SYSTEM
  ibrav = 0, nat = 5, ntyp = 2
/
ATOMIC_SPECIES
Os 190.23 Os.upf
Ti 47.87 Ti.upf
ATOMIC_POSITIONS angstrom
Os 0.000 2.219 2.219
Os 0.000 0.000 0.000
Os 2.219 0.000 2.219
Os 2.219 2.219 0.000
Ti 2.219 2.219 2.219
CELL_PARAMETERS angstrom
4.437 0.000 0.000
0.000 4.437 0.000
0.000 0.000 4.437
```


Which of these has the highest DOS(E_F)?
number 9